DFT (PBE) results for a relaxed CaMg2Mn crystal.

Properties
**Space group**: P2/m, No. 10
**Total moment**: 3.58 μB per formula unit
**Crystal system**: monoclinic
**Energy relative to the elements**: 0.17 eV per atom
**DOS at the Fermi energy**: 2.985 states/eV/cell
**Electronic total energy**: -3.424 eV/atom

Cell and atoms, written as extended XYZ:
```
4
Lattice="3.5290 0.0000 0.0000 0.0000 3.5076 0.0060 0.0000 3.5041 7.6656" Properties=species:S:1:pos:R:3 pbc="T T T"
Ca 1.7645 5.2588 5.7537
Mg 0.0000 3.5077 0.4234
Mg 0.0000 3.5057 3.4183
Mn 1.7645 1.7529 1.9179
```

DFT (PBE) results for a relaxed GeO crystal.

Properties
**ΔE_f (raw)**: -0.729 eV per atom
**Space group**: P6_3mc, No. 186
**Total moment**: 0.00 μB per formula unit
**Crystal system**: hexagonal
**DOS at the Fermi energy**: 0.000 states/eV/cell
**Electronic total energy**: -5.517 eV/atom

Cell and atoms, written as extended XYZ:
```
4
Lattice="-1.7914 1.9875 3.0490 -2.0914 -0.8573 -3.3685 -1.4162 -4.3068 1.9753" Properties=species:S:1:pos:R:3 pbc="T T T"
Ge -3.0276 -3.0601 0.2159
Ge -2.2195 0.0415 1.3675
O -2.4876 -1.4179 -0.5373
O -3.0957 -2.6230 2.5895
```

DFT (PBE) results for a relaxed BaPrNp2O8 crystal.

Properties
**ΔE_f (raw)**: -2.862 eV per atom
**Space group**: I-4, No. 82
**Total moment**: 3.00 μB per formula unit
**Crystal system**: tetragonal
**DOS at the Fermi energy**: 12.321 states/eV/cell
**Electronic total energy**: -8.883 eV/atom

Cell and atoms, written as extended XYZ:
```
12
Lattice="-5.6571 -0.1883 0.3298 0.1090 -5.5216 -1.2835 3.1257 1.6232 5.8059" Properties=species:S:1:pos:R:3 pbc="T T T"
Ba -2.6527 -0.7100 2.8294
Pr 0.0000 0.0000 0.0000
Np -2.7741 -2.8549 -0.4768
Np 0.2303 -3.3767 2.0228
O -4.0021 -4.3244 0.4305
O -1.4006 -1.8951 0.8204
O -0.9654 -2.5485 3.5462
O 1.4734 0.7691 4.1521
O -4.3574 -2.0308 1.3835
O -0.9955 -4.3632 0.6226
O 1.5037 -2.2292 3.8565
O -0.9459 0.2752 4.5970
```

DFT (PBE) results for a relaxed CsTlCo2Cl6 crystal.

Properties
**ΔE_f (raw)**: -0.960 eV per atom
**Space group**: C2/c, No. 15
**Total moment**: 6.00 μB per formula unit
**Crystal system**: monoclinic
**Electronic total energy**: -3.811 eV/atom

Cell and atoms, written as extended XYZ:
```
20
Lattice="-2.2053 5.6490 7.7095 0.0228 -7.9431 5.7547 7.0140 1.1511 -0.0090" Properties=species:S:1:pos:R:3 pbc="T T T"
Cs 1.3578 -5.1020 6.1196
Cs 3.4738 3.9590 7.3355
Tl 0.4286 0.5660 6.9348
Tl 4.4029 -1.7091 6.5204
Co 4.7220 1.4590 3.0363
Co 3.2655 0.1149 10.7224
Co 0.1096 -2.6021 10.4189
Co 1.5660 -1.2580 2.7328
Cl -0.6811 2.4816 9.3144
Cl 0.7747 3.3084 5.2252
Cl 5.5126 -3.6247 4.1408
Cl 4.0568 -4.4514 8.2300
Cl -0.1793 0.0934 2.1144
Cl 1.3702 -0.9970 11.4625
Cl 5.0108 -1.2365 11.3408
Cl 3.4613 -0.1461 1.9927
Cl 1.6034 -1.6248 4.9364
Cl 0.0897 -2.3423 8.1999
Cl 3.2281 0.4818 8.5188
Cl 4.7419 1.1992 5.2553
```

DFT (PBE) results for a relaxed PrDyAgPd crystal.

Properties
**Excess energy over the best structure of this formula in the dataset**: 0.000 eV per atom
**Space group**: Amm2, No. 38
**Total moment**: 0.00 μB per formula unit
**Crystal system**: orthorhombic
**Energy relative to the elements**: -0.54 eV per atom
**DOS at the Fermi energy**: 2.712 states/eV/cell
**Electronic total energy**: -4.893 eV/atom

Cell and atoms, written as extended XYZ:
```
4
Lattice="3.8408 0.0000 0.0000 0.0000 4.7872 0.0000 -1.9204 0.0000 5.4548" Properties=species:S:1:pos:R:3 pbc="T T T"
Pr 1.9204 2.3936 3.9064
Dy 0.0000 0.0000 1.4941
Ag 0.0000 0.0000 4.5922
Pd 1.9204 2.3936 0.9168
```

DFT (PBE) results for a relaxed YTeWI2 crystal.

Properties
**Excess energy over the best structure of this formula in the dataset**: 0.148 eV per atom
**ΔE_f (raw)**: 0.664 eV per atom
**Space group**: P4/mmm, No. 123
**Total moment**: 5.00 μB per formula unit
**Crystal system**: tetragonal
**DOS at the Fermi energy**: 3.003 states/eV/cell
**Electronic total energy**: -4.467 eV/atom

Cell and atoms, written as extended XYZ:
```
5
Lattice="5.8427 0.0000 0.0000 0.0000 5.8427 0.0000 0.0000 0.0000 6.0856" Properties=species:S:1:pos:R:3 pbc="T T T"
I 0.0000 2.9213 0.0000
I 2.9213 0.0000 0.0000
Y 0.0000 0.0000 0.0000
Te 0.0000 0.0000 3.0428
W 2.9213 2.9213 3.0428
```

DFT (PBE) results for a relaxed BeNiOs2 crystal.

Properties
**Space group**: I-42d, No. 122
**Total moment**: 0.00 μB per formula unit
**Crystal system**: tetragonal
**Energy relative to the elements**: 0.63 eV per atom
**DOS at the Fermi energy**: 9.676 states/eV/cell
**Electronic total energy**: -7.364 eV/atom

Cell and atoms, written as extended XYZ:
```
8
Lattice="-1.6487 -3.6475 -5.5974 5.8366 2.0191 -3.0349 3.1465 -2.5866 -3.4712" Properties=species:S:1:pos:R:3 pbc="T T T"
Ni 0.0000 0.0000 0.0000
Ni 1.7958 -3.5241 -6.6923
Os 0.6102 -2.3985 -4.3228
Os 4.1039 -0.1161 -3.8870
Os 4.3710 -2.3981 -6.0697
Os 5.5835 -3.5173 -9.9274
Be 2.0939 -0.8142 -4.3161
Be 5.5385 -0.6909 -5.4111
```

DFT (PBE) results for a relaxed TeOsNF2 crystal.

Properties
**Excess energy over the best structure of this formula in the dataset**: 0.970 eV per atom
**ΔE_f (raw)**: 1.027 eV per atom
**Space group**: P4/mmm, No. 123
**Total moment**: 4.46 μB per formula unit
**Crystal system**: tetragonal
**DOS at the Fermi energy**: 5.012 states/eV/cell
**Electronic total energy**: -4.261 eV/atom

Cell and atoms, written as extended XYZ:
```
5
Lattice="4.5670 0.0000 0.0000 0.0000 4.5670 0.0000 0.0000 0.0000 4.1452" Properties=species:S:1:pos:R:3 pbc="T T T"
N 0.0000 0.0000 2.0726
Te 0.0000 0.0000 0.0000
Os 2.2835 2.2835 2.0726
F 0.0000 2.2835 0.0000
F 2.2835 0.0000 0.0000
```

Copy entry 2 word for word.
DFT (PBE) results for a relaxed GeO crystal.

Properties
**ΔE_f (raw)**: -0.729 eV per atom
**Space group**: P6_3mc, No. 186
**Total moment**: 0.00 μB per formula unit
**Crystal system**: hexagonal
**DOS at the Fermi energy**: 0.000 states/eV/cell
**Electronic total energy**: -5.517 eV/atom

Cell and atoms, written as extended XYZ:
```
4
Lattice="-1.7914 1.9875 3.0490 -2.0914 -0.8573 -3.3685 -1.4162 -4.3068 1.9753" Properties=species:S:1:pos:R:3 pbc="T T T"
Ge -3.0276 -3.0601 0.2159
Ge -2.2195 0.0415 1.3675
O -2.4876 -1.4179 -0.5373
O -3.0957 -2.6230 2.5895
```